Here is a geometry-optimized KGe2MoO8 structure from Alexandria via LeMat-Bulk. Energies are from PBE+U.

Cell: 5.213 5.210 7.747 Å, 78.63 78.64 65.38°
Site moments in Bohr magnetons follow the coordinates.
Fractional positions:
O (0.223, 0.222, 0.941)  0.01
O (0.238, 0.753, 0.181)  0.00
O (0.631, 0.632, 0.437)  0.44
Mo (0.000, 0.000, 0.000)  0.00
K (0.000, 0.000, 0.500)  0.00
O (0.246, 0.762, 0.819)  0.00
Ge (0.598, 0.598, 0.224)  -0.01
Ge (0.402, 0.402, 0.776)  -0.01
O (0.754, 0.238, 0.181)  0.00
O (0.369, 0.368, 0.563)  0.44
O (0.777, 0.778, 0.059)  0.01
O (0.762, 0.247, 0.819)  0.00

Total moment ... 1.07 μB/f.u.
Crystal system ... monoclinic
Calculated density ... 3.6 g/cm³
Total DFT energy (no corrections) ... -74.467 eV/f.u.